A plane-wave DFT calculation with PBE with a Hubbard U was carried out for NaFeF2 after structural relaxation.

The total energy comes out at -4.432 eV/atom. Its total magnetization is 4.027 μB/f.u. As for the symmetry: I-42d (122).

abc: 5.247 5.247 6.245
angles: 65.16 65.16 90.00
Fractional positions:
F  0.875  0.908  0.750
Na  0.250  0.750  0.500
Fe  0.750  0.250  0.500
Na  0.500  0.500  0.000
F  0.092  0.625  0.250
Fe  0.000  0.000  0.000
F  0.375  0.342  0.750
F  0.658  0.125  0.250